The following is a DFT calculation (PBE) of NaNi2SnBr after structural relaxation.

Summary:
formation energy from raw total energies: 0.442 eV per atom
DOS(E_F): 1.97 states/eV per cell
VASP energy: -16.35 eV/cell

Lattice parameters (Å, degrees): 4.6966 7.0508 4.6966 90.00 90.00 90.00
Closest atoms and distances in Å follow each position.
Fractional coordinates of all 5 atoms:
Ni 0.0000 0.0000 0.5000  2 Sn 2.35
Ni 0.5000 0.0000 0.0000  2 Sn 2.35
Sn 0.0000 0.0000 0.0000  4 Ni 2.35
Br 0.5000 0.5000 0.5000  4 Na 3.32
Na 0.0000 0.5000 0.0000  4 Br 3.32, 2 Sn 3.53